[1]
8
Lattice="-1.858 3.107 1.960 -0.597 -3.228 4.551 5.290 1.883 2.030" Properties=species:S:1:pos:R:3 comment="HoPRh2 PBE optimized geometry" total_energy_ev_per_atom=-7.08 volume_a3_per_atom=17.238 pbc="T T T"
Rh -0.273 0.994 2.489
Ho 2.000 1.089 4.494
P 3.486 3.125 2.674
Rh 4.021 -0.870 5.190
Rh 4.335 0.829 2.796
Rh -0.556 -0.535 4.646
P 0.576 -1.302 2.611
Ho 2.062 0.734 0.791


[2]
8
Lattice="-1.601 -3.373 1.051 3.981 -4.488 -1.184 2.859 -2.026 5.012" Properties=species:S:1:pos:R:3 comment="HoP2Rh5 PBE optimized geometry" total_energy_ev_per_atom=-7.36 volume_a3_per_atom=15.448 pbc="T T T"
Rh 1.594 -4.978 0.766
P 3.873 -7.395 3.641
Rh 3.645 -4.909 4.112
P 1.366 -2.493 1.238
Rh 3.420 -3.257 1.914
Rh 4.101 -5.911 1.591
Rh 1.137 -3.976 3.287
Ho 0.000 0.000 0.000


no.,DFT formation energy (eV/atom)
1,-0.9108
2,-0.8360